1.
# Na2BiTeO

Crystalline Na2BiTeO at its relaxed geometry (PBE-GGA, the Alexandria database). Values from VASP.

Values from the calculation:
D(E_F) ... 19.4 states/eV per cell
Uncorrected formation energy ... 2.327 eV/f.u.
Magnetization ... 0.000 μB per atom
Energy relative to the lowest polymorph listed for this composition ... 1339 meV/atom

The structure in Quantum ESPRESSO input format:
```
&SYSTEM
  ibrav = 0, nat = 5, ntyp = 4
/
ATOMIC_SPECIES
O 16.00 O.upf
Na 22.99 Na.upf
Te 127.60 Te.upf
Bi 208.98 Bi.upf
CELL_PARAMETERS angstrom
-4.026 -4.498 -1.223
4.327 -3.647 -0.830
-0.127 -1.509 5.969
ATOMIC_POSITIONS crystal
O 0.500 0.500 0.500
Na 0.000 0.000 0.500
Na 0.500 0.000 0.000
Te 0.000 0.500 0.000
Bi 0.000 0.000 0.000
```

2.
# RbTlAs3

Crystalline RbTlAs3 at its relaxed geometry (PBE-GGA, the Alexandria database). Values from VASP.

Values from the calculation:
Energy of formation from the pure elements ... 0.585 eV per atom
D(E_F) ... 5.1 states/eV per cell
Magnetization ... 0.000 μB per atom
Energy relative to the lowest polymorph listed for this composition ... 0 meV/atom

The structure in Quantum ESPRESSO input format:
```
&SYSTEM
  ibrav = 0, nat = 5, ntyp = 3
/
ATOMIC_SPECIES
As 74.92 As.upf
Rb 85.47 Rb.upf
Tl 204.38 Tl.upf
CELL_PARAMETERS angstrom
-2.724 4.029 2.578
-4.333 -0.823 -3.292
-2.025 -3.658 3.579
ATOMIC_POSITIONS crystal
As 0.000 0.500 0.000
As 0.500 0.000 0.000
As 0.000 0.000 0.500
Rb 0.500 0.500 0.500
Tl 0.000 0.000 0.000
```

> D(E_F) of number 1 (Na2BiTeO)?

19.4 states/eV per cell

> Which of these has the highest D(E_F)?

Na2BiTeO

Repeat the first record exactly.
# Na2BiTeO

Crystalline Na2BiTeO at its relaxed geometry (PBE-GGA, the Alexandria database). Values from VASP.

Values from the calculation:
D(E_F) ... 19.4 states/eV per cell
Uncorrected formation energy ... 2.327 eV/f.u.
Magnetization ... 0.000 μB per atom
Energy relative to the lowest polymorph listed for this composition ... 1339 meV/atom

The structure in Quantum ESPRESSO input format:
```
&SYSTEM
  ibrav = 0, nat = 5, ntyp = 4
/
ATOMIC_SPECIES
O 16.00 O.upf
Na 22.99 Na.upf
Te 127.60 Te.upf
Bi 208.98 Bi.upf
CELL_PARAMETERS angstrom
-4.026 -4.498 -1.223
4.327 -3.647 -0.830
-0.127 -1.509 5.969
ATOMIC_POSITIONS crystal
O 0.500 0.500 0.500
Na 0.000 0.000 0.500
Na 0.500 0.000 0.000
Te 0.000 0.500 0.000
Bi 0.000 0.000 0.000
```